# 1
A plane-wave DFT calculation with PBE-GGA was carried out for a relaxed structure of Nd2Al3InAu4.

Output
ΔE_f	-66	kJ/mol of atoms
total moment	0.00	μB per formula unit
uncorrected energy	-4.343	eV/atom

a = 4.4661 Å, b = 4.4661 Å, c = 10.7434 Å
α = 90.00°, β = 90.00°, γ = 90.00°
Closest atoms and distances in Å follow each position.
Space group P-4m2 (No. 115)
One atom of each set of equivalent atoms:
Nd 0.0000 0.5000 0.2412 [2 per cell]  8 Au 3.39-3.42, 6 Al 3.40-3.57, 2 In 3.57
Al 0.0000 0.5000 0.8757 [2 per cell]  5 Au 2.48-2.60
Al 0.5000 0.5000 0.5000 [1 per cell]  4 Au 2.72
In 0.0000 0.0000 0.5000 [1 per cell]  4 Au 2.72
Au 0.0000 0.0000 0.0000 [1 per cell]  4 Al 2.60
Au 0.0000 0.5000 0.6451 [2 per cell]  3 Al 2.48-2.72, 2 In 2.72
Au 0.5000 0.5000 0.0000 [1 per cell]  4 Al 2.60

# 2
A plane-wave DFT calculation with PBE-GGA was carried out for a relaxed structure of AcErIr2.

Output
ΔE_f	-56	kJ/mol of atoms
total moment	0.16	μB per formula unit
uncorrected energy	-7.182	eV/atom

a = 3.4967 Å, b = 3.4967 Å, c = 7.3451 Å
α = 90.00°, β = 90.00°, γ = 90.00°
Closest atoms and distances in Å follow each position.
Space group P4/mmm (No. 123)
One atom of each set of equivalent atoms:
Ac 0.0000 0.0000 0.0000 [1 per cell]  8 Ir 3.22, 4 Ac 3.50
Er 0.0000 0.0000 0.5000 [1 per cell]  8 Ir 2.95
Ir 0.5000 0.5000 0.2809 [2 per cell]  4 Er 2.95, 1 Ir 3.22, 4 Ac 3.22

# 3
A plane-wave DFT calculation with PBE-GGA was carried out for a relaxed structure of Pm3Ni5Se12.

Output
total moment	0.00	μB per formula unit
uncorrected energy	-4.988	eV/atom

a = 15.3613 Å, b = 15.3613 Å, c = 15.3613 Å
α = 90.00°, β = 90.00°, γ = 90.00°
Closest atoms and distances in Å follow each position.
Space group Ia-3d (No. 230)
One atom of each set of equivalent atoms:
Pm 0.0000 0.2500 0.1250 [24 per cell]  8 Se 3.00-3.06
Ni 0.0000 0.0000 0.0000 [16 per cell]  6 Se 2.44
Ni 0.0000 0.2500 0.3750 [24 per cell]  4 Se 2.31
Se 0.0310 0.0544 0.6456 [96 per cell]  2 Ni 2.31-2.44